{
  "formula": "CoNi5Rh2",
  "functional": "GGA-PBE",
  "state": "relaxed",
  "relative_energy_mev_per_atom": 22,
  "crystal_system": "tetragonal",
  "energy_ev_per_atom": -6.290,
  "ef_ev_per_fu": 0.39,
  "lattice_angstrom": [[-2.084, 2.730, -1.256], [-2.352, -0.530, 2.750], [5.866, 3.532, 3.266]],
  "species": ["Ni", "Rh", "Ni", "Ni", "Ni", "Ni", "Co", "Rh"],
  "frac_coords": [[0.118, 0.618, 0.237], [0.748, 0.748, 0.496], [0.382, 0.882, 0.763], [0.618, 0.118, 0.237], [0.500, 0.500, 0.000], [0.882, 0.382, 0.763], [0.000, 0.000, 0.000], [0.252, 0.252, 0.504]]
}